No. 1
The following is a PBE-GGA calculation of a relaxed PrEr3Al8 crystal, from Alexandria via LeMat-Bulk.

Calculated values
* SG: No. 156
* N(E_F): 5.74 states/eV/f.u.
* calculated total energy: -4.52 eV per atom
* polymorph energy (0 for the lowest one): 0.10 eV/f.u.

a b c (Å): 5.567 5.567 9.150
angles (deg): 90.00 90.00 120.00
Element x y z (fractional)
Pr: 0.000 0.000 0.568
Er: 0.667 0.333 0.430
Er: 0.667 0.333 0.066
Er: 0.000 0.000 0.933
Al: 0.333 0.667 0.498
Al: 0.333 0.667 0.002
Al: 0.504 0.009 0.755
Al: 0.504 0.496 0.755
Al: 0.991 0.496 0.755
Al: 0.162 0.324 0.247
Al: 0.162 0.838 0.247
Al: 0.676 0.838 0.247


No. 2
The following is a PBE-GGA calculation of a relaxed Pr2ErAl2 crystal, from Alexandria via LeMat-Bulk.

Calculated values
* SG: No. 71
* N(E_F): 4.36 states/eV/f.u.
* calculated total energy: -4.62 eV per atom

a b c (Å): 4.948 5.869 5.869
angles (deg): 71.16 65.07 65.07
Element x y z (fractional)
Pr: 0.198 0.302 0.302
Pr: 0.802 0.698 0.698
Er: 0.000 0.000 0.000
Al: 0.500 0.301 0.699
Al: 0.500 0.699 0.301


No. 3
The following is a PBE-GGA calculation of a relaxed PrEr2Al6 crystal, from Alexandria via LeMat-Bulk.

Calculated values
* SG: No. 191
* N(E_F): 2.46 states/eV/f.u.
* calculated total energy: -4.51 eV per atom
* polymorph energy (0 for the lowest one): 0.00 eV/f.u.

a b c (Å): 3.524 7.944 7.944
angles (deg): 120.00 90.00 90.00
Element x y z (fractional)
Pr: 0.000 0.000 0.000
Er: 0.000 0.333 0.667
Er: 0.000 0.667 0.333
Al: 0.500 0.336 0.336
Al: 0.500 0.664 0.664
Al: 0.500 0.000 0.664
Al: 0.500 0.664 0.000
Al: 0.500 0.336 0.000
Al: 0.500 0.000 0.336


No. 4
The following is a PBE-GGA calculation of a relaxed PrEr3Al4 crystal, from Alexandria via LeMat-Bulk.

Calculated values
* SG: No. 123
* N(E_F): 3.03 states/eV/f.u.
* calculated total energy: -4.55 eV per atom

a b c (Å): 5.097 7.287 10.195
angles (deg): 90.00 90.00 90.00
Element x y z (fractional)
Pr: 0.000 0.500 0.000
Pr: 0.000 0.500 0.500
Al: 0.500 0.761 0.000
Al: 0.500 0.761 0.500
Al: 0.500 0.239 0.000
Al: 0.500 0.239 0.500
Al: 0.000 0.761 0.750
Al: 0.000 0.761 0.250
Al: 0.000 0.239 0.250
Al: 0.000 0.239 0.750
Er: 0.000 0.000 0.000
Er: 0.000 0.000 0.500
Er: 0.500 0.000 0.750
Er: 0.500 0.000 0.250
Er: 0.500 0.500 0.750
Er: 0.500 0.500 0.250


Calculated values (eV per atom) of energy of formation from the pure elements for the records, taken in order: -0.49 -0.30 -0.47 -0.37.